A relaxed structure of ZrCdSn3. Source: Alexandria, functional GGA-PBE.

Cell: 5.5949 5.5949 5.5949 Å, 90.00 90.00 90.00°
Fractional coordinates of all 5 atoms:
Zr1 0.0000 0.0000 0.0000
Cd1 0.5000 0.5000 0.5000
Sn1 0.0000 0.0000 0.5000
Sn2 0.0000 0.5000 0.0000
Sn3 0.5000 0.0000 0.0000

Results
* energy: -3.98 eV per atom
* volume: 35.0 Å³/atom
* D(E_F): 2.9 states/eV/f.u.
* density: 5.3 Mg/m³
* formation energy from the elements: 318 meV per atom
* size of the total moment: 0.00 μB per cell